## NdZn12Ni6 (PBE)

Data for a relaxed structure of NdZn12Ni6.

abc: 6.887 6.887 6.887
angles: 104.63 104.63 104.63
Atoms (fractional coordinates):
Nd (0.000, 0.000, 0.000)
Zn (0.405, 0.405, 0.142)
Zn (0.885, 0.115, 0.500)
Zn (0.885, 0.500, 0.115)
Zn (0.115, 0.500, 0.885)
Zn (0.115, 0.885, 0.500)
Zn (0.142, 0.405, 0.405)
Zn (0.858, 0.595, 0.595)
Zn (0.595, 0.858, 0.595)
Zn (0.405, 0.142, 0.405)
Zn (0.595, 0.595, 0.858)
Zn (0.500, 0.885, 0.115)
Zn (0.500, 0.115, 0.885)
Ni (0.303, 0.725, 0.725)
Ni (0.697, 0.275, 0.275)
Ni (0.275, 0.697, 0.275)
Ni (0.275, 0.275, 0.697)
Ni (0.725, 0.303, 0.725)
Ni (0.725, 0.725, 0.303)

energy of formation = -113 meV/atom
spin magnetization = 0.0000 μB/atom
D(E_F) = 0.626 states/eV/atom
volume = 288 Å³/cell